Below is an optimized crystal structure of Pa8IrOs5, with properties calculated at the PBE level.

Summary:
* DFT formation energy: -0.36 eV/atom
* total magnetization: 0.00 μB/f.u.
* DFT total energy: -0.7668 Ry per atom

Structure (POSCAR):
```
Pa8IrOs5
1.0
-4.284 4.284 4.265
4.284 -4.284 4.265
4.284 4.284 -4.265
Pa Ir Os
8 1 5
direct
0.010 0.877 0.253
0.121 0.375 0.630
0.123 0.375 0.132
0.243 0.990 0.868
0.509 0.879 0.254
0.625 0.255 0.746
0.625 0.757 0.747
0.745 0.491 0.370
0.500 0.500 0.000
0.001 0.624 0.878
0.250 0.750 0.500
0.376 0.254 0.376
0.746 0.122 0.122
0.878 0.999 0.624
```

Below is an optimized crystal structure of PaIrOs2, with properties calculated at the PBE level.

Summary:
* DFT formation energy: -0.39 eV/atom
* total magnetization: 0.00 μB/f.u.
* DFT total energy: -0.7783 Ry per atom

Structure (POSCAR):
```
PaIrOs2
1.0
4.078 0.000 0.000
0.000 4.078 0.000
0.000 0.000 4.076
Pa Ir Os
1 1 2
direct
0.000 0.000 0.000
0.500 0.500 0.000
0.000 0.500 0.500
0.500 0.000 0.500
```

Below is an optimized crystal structure of PuPaIrOs, with properties calculated at the PBE level.

Summary:
* DFT formation energy: -0.31 eV/atom
* total magnetization: 3.98 μB/f.u.
* DFT total energy: -0.8297 Ry per atom

Structure (POSCAR):
```
PuPaIrOs
1.0
0.000 3.319 3.319
3.319 0.000 3.319
3.319 3.319 0.000
Pu Pa Ir Os
1 1 1 1
direct
0.000 0.000 0.000
0.750 0.750 0.750
0.250 0.250 0.250
0.500 0.500 0.500
```

- Which of these has the lowest DFT formation energy?
  PaIrOs2

- Which formula does entry 1 have?
  Pa8IrOs5